(1)
A relaxed structure of KTc2Cl, computed with PBE.

POSCAR file:
```
KTc2Cl
1.0
2.752 0.000 0.000
0.000 2.752 0.000
0.000 0.000 9.893
Tc Cl K
2 1 1
Direct
0.000 0.000 0.047
0.000 0.000 0.453
0.500 0.500 0.250
0.500 0.500 0.750
```

Calculated values
Formation energy from raw total energies   1332 meV per atom
E above lowest polymorph   494.5 kJ/mol of formula units

---

(2)
A relaxed structure of CeThBi, computed with PBE.

POSCAR file:
```
CeThBi
1.0
4.242 -0.004 0.176
0.003 4.532 -0.020
0.529 0.044 10.134
Th Bi Ce
2 2 2
Direct
0.798 0.250 0.787
0.202 0.750 0.213
0.720 0.250 0.122
0.280 0.750 0.878
0.658 0.250 0.447
0.342 0.750 0.553
```

Calculated values
Formation enthalpy at 0 K   -0.2291 eV/atom

---

(3)
A relaxed structure of LaNdIrRh, computed with PBE.

POSCAR file:
```
LaNdIrRh
1.0
4.007 0.000 0.000
0.000 4.258 0.000
-2.004 0.000 5.546
Ir La Nd Rh
1 1 1 1
Direct
0.417 0.000 0.835
0.857 0.500 0.714
0.141 0.000 0.282
0.584 0.500 0.169
```

Calculated values
E above lowest polymorph   0.0 kJ/mol of formula units
Formation enthalpy at 0 K   -0.6859 eV/atom